A plane-wave DFT calculation with PBE was carried out for a relaxed Ac2In4CuHg3 crystal.

a b c (Å): 4.795 4.795 11.781
angles (deg): 90.00 90.00 90.00
Element x y z (fractional)
Ac 0.500 0.000 0.265
Ac 0.000 0.500 0.735
In 0.500 0.500 0.000
In 0.000 0.000 0.000
In 0.500 0.000 0.619
In 0.000 0.500 0.381
Cu 0.500 0.500 0.500
Hg 0.000 0.000 0.500
Hg 0.500 0.000 0.854
Hg 0.000 0.500 0.146

Calculated values
Electronic total energy = -27.22 eV/cell
Formation enthalpy at 0 K = -3.044 eV/f.u.